Record 1
Material: CePaIr2
Method: DFT, PBE
State: relaxed

Symmetry ... No. 13
ΔH_f (0 K) ... -0.86 eV/atom
Magnetic moment ... 0.0000 μB per atom
Calculated volume ... 351.2 Å³/cell
Energy above the most stable polymorph in this dataset ... 0.000 eV/atom

a = 5.6123 Å, b = 5.5965 Å, c = 11.4126 Å
α = 90.00°, β = 101.58°, γ = 90.00°
Positions (direct):
Ir (0.4321, 0.6499, 0.5937)
Ir (0.0679, 0.6499, 0.9063)
Ir (0.4381, 0.8608, 0.1057)
Ir (0.9381, 0.1392, 0.6057)
Ir (0.0619, 0.8608, 0.3943)
Ir (0.5619, 0.1392, 0.8943)
Ir (0.5679, 0.3501, 0.4063)
Ir (0.9321, 0.3501, 0.0937)
Pa (0.9507, 0.8551, 0.1366)
Pa (0.4507, 0.1449, 0.6366)
Pa (0.5493, 0.8551, 0.3634)
Pa (0.0493, 0.1449, 0.8634)
Ce (0.0484, 0.3584, 0.3607)
Ce (0.5484, 0.6416, 0.8607)
Ce (0.9516, 0.6416, 0.6393)
Ce (0.4516, 0.3584, 0.1393)

Record 2
Material: LaPm7Pr2
Method: DFT, PBE
State: relaxed

Symmetry ... No. 2
ΔH_f (0 K) ... 0.02 eV/atom
Magnetic moment ... 0.0000 μB per atom
Calculated volume ... 351.5 Å³/cell
Energy above the most stable polymorph in this dataset ... 0.000 eV/atom

a = 6.3626 Å, b = 9.7395 Å, c = 9.7359 Å
α = 141.84°, β = 70.93°, γ = 102.54°
Positions (direct):
Pm (0.1006, 0.4990, 0.7989)
Pm (0.5000, 0.5000, 0.0000)
Pm (0.8994, 0.5010, 0.2011)
Pm (0.5999, 0.0004, 0.8005)
Pm (0.6983, 0.5007, 0.6008)
Pm (0.3017, 0.4993, 0.3992)
Pm (0.4001, 0.9996, 0.1995)
La (0.0000, 0.0000, 0.0000)
Pr (0.7999, 0.9992, 0.3994)
Pr (0.2001, 0.0008, 0.6006)

Record 3
Material: SbAsAu2
Method: DFT, PBE
State: relaxed

Symmetry ... No. 65
Magnetic moment ... 0.0000 μB per atom
E_form (uncorrected) ... 0.0391 eV per atom
Calculated volume ... 88.3 Å³/cell
Energy above the most stable polymorph in this dataset ... 0.004 eV/atom

a = 3.9335 Å, b = 4.8365 Å, c = 4.8432 Å
α = 73.36°, β = 90.00°, γ = 90.00°
Positions (direct):
Sb (0.5000, 0.2500, 0.2500)
Au (0.0000, 0.5118, 0.5118)
Au (0.0000, 0.9882, 0.9882)
As (0.5000, 0.7500, 0.7500)

Record 4
Material: Pm2AgSn
Method: DFT, PBE
State: relaxed

Symmetry ... No. 225
ΔH_f (0 K) ... -0.53 eV/atom
Magnetic moment ... 0.0935 μB per atom
Calculated volume ... 109.2 Å³/cell
Energy above the most stable polymorph in this dataset ... 0.000 eV/atom

a = 5.3653 Å, b = 5.3653 Å, c = 5.3653 Å
α = 60.00°, β = 60.00°, γ = 60.00°
Positions (direct):
Pm (0.2500, 0.2500, 0.2500)
Pm (0.7500, 0.7500, 0.7500)
Ag (0.5000, 0.5000, 0.5000)
Sn (0.0000, 0.0000, 0.0000)

Record 5
Material: Ce2Pm2Ga
Method: DFT, PBE
State: relaxed

Symmetry ... No. 139
ΔH_f (0 K) ... 0.12 eV/atom
Magnetic moment ... 0.0000 μB per atom
Calculated volume ... 147.0 Å³/cell

a = 3.8089 Å, b = 3.8089 Å, c = 10.4852 Å
α = 100.46°, β = 100.46°, γ = 90.00°
Positions (direct):
Ga (0.0000, 0.0000, 0.0000)
Ce (0.7500, 0.2500, 0.5000)
Ce (0.2500, 0.7500, 0.5000)
Pm (0.5859, 0.5859, 0.1718)
Pm (0.4141, 0.4141, 0.8282)

Record 6
Material: Rb2NbRuCl6
Method: DFT, PBE
State: relaxed

Symmetry ... No. 139
Magnetic moment ... 0.2967 μB per atom
E_form (uncorrected) ... -1.0235 eV per atom
Calculated volume ... 257.6 Å³/cell

a = 7.1664 Å, b = 7.1664 Å, c = 7.1296 Å
α = 59.83°, β = 59.83°, γ = 90.00°
Positions (direct):
Cl (0.2505, 0.2505, 0.0000)
Cl (0.7495, 0.7495, 0.0000)
Cl (0.7495, 0.2505, 0.0000)
Cl (0.2505, 0.7495, 0.0000)
Cl (0.7515, 0.7515, 0.4971)
Cl (0.2485, 0.2485, 0.5029)
Nb (0.5000, 0.5000, 0.0000)
Rb (0.2500, 0.7500, 0.5000)
Rb (0.7500, 0.2500, 0.5000)
Ru (0.0000, 0.0000, 0.0000)

Please write out number 5 again, unchanged.
Material: Ce2Pm2Ga
Method: DFT, PBE
State: relaxed

Symmetry ... No. 139
ΔH_f (0 K) ... 0.12 eV/atom
Magnetic moment ... 0.0000 μB per atom
Calculated volume ... 147.0 Å³/cell

a = 3.8089 Å, b = 3.8089 Å, c = 10.4852 Å
α = 100.46°, β = 100.46°, γ = 90.00°
Positions (direct):
Ga (0.0000, 0.0000, 0.0000)
Ce (0.7500, 0.2500, 0.5000)
Ce (0.2500, 0.7500, 0.5000)
Pm (0.5859, 0.5859, 0.1718)
Pm (0.4141, 0.4141, 0.8282)

Q: Look up the magnetic moment of the sixth one.
A: 0.2967 μB per atom

Q: Which of these has the lowest calculated volume?
A: SbAsAu2

Q: The highest magnetic moment belongs to which entry?
A: Rb2NbRuCl6